Entry 1:
A relaxed structure of MgBeFe2, computed with PBE.

Structure (POSCAR):
```
MgBeFe2
1.0
-1.794 1.794 3.786
1.794 -1.794 3.786
1.794 1.794 -3.786
Mg Be Fe
1 1 2
direct
0.000 0.000 0.000
0.500 0.500 0.000
0.250 0.750 0.500
0.750 0.250 0.500
```

## Properties
Offset from the most stable computed form: 121 meV per atom
M_tot: 4.33 Bohr magnetons per cell
Formation energy from the elements: 0.191 eV per atom
DOS(E_F): 2.67 states/eV/f.u.
Electronic total energy: -5.371 eV/atom
Space group: I4/mmm (139)

=====

Entry 2:
A relaxed structure of Mg3InC, computed with PBE.

Structure (POSCAR):
```
Mg3InC
1.0
4.498 0.000 0.000
0.000 4.498 0.000
0.000 0.000 4.498
Mg In C
3 1 1
direct
0.000 0.000 0.500
0.000 0.500 0.000
0.500 0.000 0.000
0.500 0.500 0.500
0.000 0.000 0.000
```

## Properties
Offset from the most stable computed form: 0 meV per atom
M_tot: 0.00 Bohr magnetons per cell
Formation energy from the elements: 0.152 eV per atom
DOS(E_F): 1.73 states/eV/f.u.
Electronic total energy: -3.197 eV/atom
Space group: Pm-3m (221)

=====

Entry 3:
A relaxed structure of Ho3HgOs, computed with PBE.

Structure (POSCAR):
```
Ho3HgOs
1.0
0.000 4.827 8.014
3.230 0.000 8.014
3.230 4.827 0.000
Ho Hg Os
6 2 2
direct
0.199 0.199 0.801
0.202 0.576 0.424
0.424 0.798 0.202
0.576 0.202 0.798
0.798 0.424 0.576
0.801 0.801 0.199
0.215 0.785 0.785
0.785 0.215 0.215
0.250 0.250 0.250
0.750 0.750 0.750
```

## Properties
M_tot: 0.00 Bohr magnetons per cell
Formation energy from the elements: -0.370 eV per atom
DOS(E_F): 3.24 states/eV/f.u.
Electronic total energy: -5.423 eV/atom
Space group: Fmmm (69)

=====

Entry 4:
A relaxed structure of Pa2PH4, computed with PBE.

Structure (POSCAR):
```
Pa2PH4
1.0
6.820 0.000 0.000
0.000 6.820 0.000
0.000 0.000 3.694
Pa P H
4 2 8
direct
0.214 0.214 0.000
0.286 0.714 0.500
0.714 0.286 0.500
0.786 0.786 0.000
0.000 0.000 0.500
0.500 0.500 0.000
0.095 0.657 0.000
0.157 0.405 0.500
0.343 0.905 0.000
0.405 0.157 0.500
0.595 0.843 0.500
0.657 0.095 0.000
0.843 0.595 0.500
0.905 0.343 0.000
```

## Properties
Offset from the most stable computed form: 40 meV per atom
M_tot: 0.00 Bohr magnetons per cell
DOS(E_F): 6.81 states/eV/f.u.
Electronic total energy: -5.986 eV/atom
Space group: P4_2/mnm (136)

=====

Entry 5:
A relaxed structure of PuFe4Rh, computed with PBE.

Structure (POSCAR):
```
PuFe4Rh
1.0
0.000 3.487 3.487
3.487 0.000 3.487
3.487 3.487 0.000
Pu Fe Rh
1 4 1
direct
0.000 0.000 0.000
0.126 0.625 0.625
0.625 0.126 0.625
0.625 0.625 0.126
0.625 0.625 0.625
0.250 0.250 0.250
```

## Properties
M_tot: 13.37 Bohr magnetons per cell
Formation energy from the elements: 0.162 eV per atom
DOS(E_F): 18.76 states/eV/f.u.
Electronic total energy: -9.093 eV/atom
Space group: F-43m (216)

=====

Entry 6:
A relaxed structure of AlPdO2, computed with PBE.

Structure (POSCAR):
```
AlPdO2
1.0
2.516 -1.415 0.000
2.516 1.415 0.000
-1.792 0.000 5.933
Al Pd O
1 1 2
direct
0.000 0.000 0.000
0.000 0.000 0.500
0.387 0.387 0.165
0.613 0.613 0.835
```

## Properties
M_tot: 1.00 Bohr magnetons per cell
DOS(E_F): 2.54 states/eV/f.u.
Electronic total energy: -6.372 eV/atom
Space group: C2/m (12)
Formation energy from raw total energies: -38.25 kcal/mol of atoms

=====

> Which of these has the lowest DOS(E_F)?

Mg3InC

=====

> What is the formula in the fourth record?

Pa2PH4